(1)
The following is a DFT calculation (PBE-GGA) of a geometry-optimized Tc2C structure.

POSCAR file:
```
Tc2C
1.0
4.851 0.000 0.000
0.000 4.916 0.000
0.000 0.000 2.986
Tc C
4 2
direct
0.239 0.142 0.000
0.261 0.642 0.500
0.739 0.358 0.500
0.761 0.858 0.000
0.000 0.500 0.000
0.500 0.000 0.500
```

Properties
E = -9.87 eV per atom
crystal system = orthorhombic
space group = Pnnm
DFT formation energy = 111 meV per atom
calculated volume = 11.87 A^3/atom

***

(2)
The following is a DFT calculation (PBE-GGA) of a geometry-optimized Mg6HgPt structure.

POSCAR file:
```
Mg6HgPt
1.0
2.387 1.378 7.808
-2.387 1.378 7.808
0.000 -2.756 7.808
Mg Hg Pt
6 1 1
direct
0.120 0.120 0.120
0.252 0.252 0.252
0.371 0.371 0.371
0.629 0.629 0.629
0.748 0.748 0.748
0.880 0.880 0.880
0.500 0.500 0.500
0.000 0.000 0.000
```

Properties
E = -2.28 eV per atom
crystal system = trigonal
space group = R-3m
DFT formation energy = -296 meV per atom
calculated volume = 19.26 A^3/atom

***

(3)
The following is a DFT calculation (PBE-GGA) of a geometry-optimized NdGdMgPd structure.

POSCAR file:
```
NdGdMgPd
1.0
7.407 0.000 0.000
0.000 7.407 0.000
0.000 0.000 7.407
Nd Gd Mg Pd
4 4 4 4
direct
0.000 0.000 0.000
0.000 0.500 0.500
0.500 0.000 0.500
0.500 0.500 0.000
0.000 0.000 0.500
0.000 0.500 0.000
0.500 0.000 0.000
0.500 0.500 0.500
0.250 0.250 0.250
0.250 0.750 0.750
0.750 0.250 0.750
0.750 0.750 0.250
0.250 0.250 0.750
0.250 0.750 0.250
0.750 0.250 0.250
0.750 0.750 0.750
```

Properties
E = -6.76 eV per atom
crystal system = cubic
space group = F-43m
DFT formation energy = -354 meV per atom
calculated volume = 25.40 A^3/atom

***

(4)
The following is a DFT calculation (PBE-GGA) of a geometry-optimized KTc2Te structure.

POSCAR file:
```
KTc2Te
1.0
3.119 0.000 0.000
0.000 3.119 0.000
0.000 0.000 9.188
K Tc Te
1 2 1
direct
0.000 0.000 0.000
0.000 0.000 0.447
0.500 0.500 0.304
0.500 0.500 0.683
```

Properties
E = -5.81 eV per atom
crystal system = tetragonal
E_form (uncorrected) = 0.43 eV per atom
space group = P4mm
calculated volume = 22.35 A^3/atom

***

(5)
The following is a DFT calculation (PBE-GGA) of a geometry-optimized Cr2FeNi6 structure.

POSCAR file:
```
Cr2FeNi6
1.0
0.000 3.846 6.287
2.093 0.000 6.287
2.093 3.846 0.000
Cr Fe Ni
2 1 6
direct
0.168 0.168 0.832
0.832 0.832 0.168
0.500 0.500 0.500
0.162 0.838 0.162
0.168 0.498 0.502
0.498 0.168 0.832
0.502 0.832 0.168
0.832 0.502 0.498
0.838 0.162 0.838
```

Properties
E = -6.86 eV per atom
crystal system = orthorhombic
space group = Fmmm
DFT formation energy = 70 meV per atom
calculated volume = 11.25 A^3/atom

***

(6)
The following is a DFT calculation (PBE-GGA) of a geometry-optimized Tl3Ag5Cl16 structure.

POSCAR file:
```
Tl3Ag5Cl16
1.0
7.027 -3.856 0.000
7.027 3.856 0.000
-1.290 0.000 12.409
Tl Ag Cl
3 5 16
direct
0.000 0.000 0.000
0.155 0.656 0.500
0.656 0.155 0.500
0.003 0.498 0.994
0.177 0.177 0.255
0.498 0.003 0.994
0.505 0.505 0.775
0.655 0.655 0.504
0.160 0.160 0.886
0.164 0.679 0.879
0.310 0.852 0.135
0.320 0.320 0.112
0.328 0.804 0.618
0.343 0.343 0.630
0.467 0.467 0.375
0.487 0.988 0.391
0.669 0.669 0.887
0.679 0.164 0.879
0.804 0.328 0.618
0.833 0.833 0.104
0.837 0.837 0.622
0.852 0.310 0.135
0.968 0.968 0.378
0.988 0.487 0.391
```

Properties
E = -2.64 eV per atom
crystal system = monoclinic
E_form (uncorrected) = -0.52 eV per atom
space group = Cm
calculated volume = 28.02 A^3/atom